Here is an optimized crystal structure of ScRu2Se from Alexandria via LeMat-Bulk. Energies are from PBE-GGA.

Structure (POSCAR):
```
ScRu2Se
1.0
-4.008 -1.164 1.200
1.348 -0.404 4.109
-0.747 3.142 0.554
Se Ru Sc
1 2 1
Direct
0.000 0.500 0.500
0.500 0.500 0.000
0.000 0.000 0.000
0.500 0.000 0.500
```

ScRuSe2 PBE-GGA optimized geometry; excess energy over the best structure of this formula in the dataset = 0.144 eV per atom
1.0
8.128 0.026 0.016
7.256 3.663 0.016
7.256 1.740 3.223
Sc Se Ru
1 2 1
Direct
0.750 0.750 0.750
0.021 0.021 0.021
0.218 0.218 0.218
0.511 0.511 0.511

ScRuSe2 PBE-GGA optimized geometry; excess energy over the best structure of this formula in the dataset = 0.063 eV per atom
1.0
-3.539 0.248 1.777
-0.779 -2.216 3.198
0.441 3.289 4.850
Ru Se Sc
1 2 1
Direct
0.750 0.750 0.750
0.491 0.491 0.528
0.009 0.009 0.972
0.250 0.250 0.250

Here is an optimized crystal structure of Sc2RuSe from Alexandria via LeMat-Bulk. Energies are from PBE-GGA.

Structure (POSCAR):
```
Sc2RuSe
1.0
5.947 -0.002 -0.001
3.557 4.765 0.001
-4.501 -2.882 2.607
Ru Se Sc
1 1 2
Direct
0.255 0.755 0.500
0.460 0.460 0.000
0.029 0.029 0.000
0.756 0.256 0.500
```

ScRuSe2 PBE-GGA optimized geometry; excess energy over the best structure of this formula in the dataset = 0.204 eV per atom
1.0
-3.249 -2.435 -2.160
-4.198 -0.373 1.840
-3.566 2.148 -1.954
Se Ru Sc
2 1 1
Direct
0.250 0.250 0.250
0.750 0.750 0.750
0.500 0.500 0.500
0.000 0.000 0.000

Here is an optimized crystal structure of ScRu2Se from Alexandria via LeMat-Bulk. Energies are from PBE-GGA.

Structure (POSCAR):
```
ScRu2Se
1.0
-3.980 -1.995 1.173
-1.669 -3.369 2.657
-1.110 2.496 4.040
Se Ru Sc
1 2 1
Direct
0.250 0.250 0.250
0.503 0.503 0.484
0.997 0.997 0.016
0.750 0.750 0.750
```

ScRuSe2 PBE-GGA optimized geometry; excess energy over the best structure of this formula in the dataset = 0.099 eV per atom
1.0
-0.398 -1.750 -3.240
0.937 -5.333 2.765
-2.620 -3.922 2.440
Sc Se Ru
1 2 1
Direct
0.000 0.000 0.500
0.500 0.500 0.000
0.000 0.000 0.000
0.500 0.500 0.500

ScRuSe2 PBE-GGA optimized geometry; excess energy over the best structure of this formula in the dataset = 0.432 eV per atom
1.0
5.431 -6.309 -0.902
5.713 -4.565 -4.080
7.568 -3.382 -1.185
Se Ru Sc
2 1 1
Direct
0.099 0.099 0.099
0.901 0.901 0.901
0.000 0.000 0.000
0.500 0.500 0.500

Here is an optimized crystal structure of Sc2RuSe from Alexandria via LeMat-Bulk. Energies are from PBE-GGA.

Structure (POSCAR):
```
Sc2RuSe
1.0
7.053 0.000 0.000
0.000 7.053 0.000
3.527 3.527 3.213
Ru Se Sc
2 2 4
Direct
0.750 0.250 0.500
0.000 0.000 0.000
0.250 0.750 0.500
0.500 0.500 0.000
0.642 0.125 0.250
0.875 0.892 0.750
0.108 0.625 0.250
0.375 0.358 0.750
```

Here is an optimized crystal structure of ScRu2Se from Alexandria via LeMat-Bulk. Energies are from PBE-GGA.

Structure (POSCAR):
```
ScRu2Se
1.0
8.227 -0.033 -0.019
7.661 2.999 -0.019
7.661 1.430 2.636
Se Sc Ru
1 1 2
Direct
0.750 0.750 0.750
0.250 0.250 0.250
0.005 0.005 0.005
0.495 0.495 0.495
```

Here is an optimized crystal structure of ScRu2Se from Alexandria via LeMat-Bulk. Energies are from PBE-GGA.

Structure (POSCAR):
```
ScRu2Se
1.0
-0.325 1.311 -2.885
-3.131 -0.578 0.090
-0.950 5.555 2.631
Ru Se Sc
2 1 1
Direct
0.000 0.000 0.511
0.000 0.000 0.989
0.500 0.500 0.750
0.500 0.500 0.250
```

Here is an optimized crystal structure of Sc2RuSe from Alexandria via LeMat-Bulk. Energies are from PBE-GGA.

Structure (POSCAR):
```
Sc2RuSe
1.0
4.661 -0.018 0.000
-0.294 4.652 0.000
0.000 0.000 3.313
Sc Se Ru
2 1 1
Direct
0.000 0.000 0.000
0.500 0.500 0.000
0.500 0.000 0.500
0.000 0.500 0.500
```

Which volume belongs to each record? In order, 15.45, 23.73, 18.43, 18.48, 17.19, 15.93, 18.68, 23.20, 19.98, 16.54, 15.77, 17.95 A^3/atom.
Which uncorrected formation energy belongs to each record? In order, -294.3, -596.8, -677.7, -725.0, -537.4, -199.6, -641.7, -308.9, -440.0, 36.8, -239.4, -776.3 meV/atom.